(1)
Compound: Y2RuAu2
Source: the Alexandria database
Functional: PBE-GGA
Structure: optimized geometry

Calculated values
* E_form: -0.313 eV per atom
* DOS at the Fermi energy: 3.1 states/eV/cell
* total magnetic moment: 0.00 μB/f.u.
* calculated volume: 229.5 Å³ per cell
* total energy: -60.64 eV for the cell shown
* density: 9.74 Mg/m³

a = 3.7204 Å, b = 3.7204 Å, c = 16.5816 Å
α = 90.00°, β = 90.00°, γ = 90.00°
Closest atoms and distances in Å follow each position.
Space group I4/mmm (No. 139)
Unique sites:
Y: 0.0000 0.0000 0.0973 [4 per cell]  4 Ru 3.09, 4 Au 3.14, 1 Y 3.23
Ru: 0.0000 0.0000 0.5000 [2 per cell]  8 Y 3.09
Au: 0.0000 0.5000 0.2500 [4 per cell]  4 Au 2.63

(2)
Compound: LiPrSn2Rh4
Source: the Alexandria database
Functional: PBE-GGA
Structure: optimized geometry

Calculated values
* E_form: -0.597 eV per atom
* DOS at the Fermi energy: 9.4 states/eV/cell
* total magnetic moment: 0.00 μB/f.u.
* calculated volume: 427.4 Å³ per cell
* total energy: -146.65 eV for the cell shown
* density: 9.29 Mg/m³

a = 4.4773 Å, b = 4.4773 Å, c = 24.6202 Å
α = 90.00°, β = 90.00°, γ = 120.00°
Closest atoms and distances in Å follow each position.
Space group R-3m (No. 166, hexagonal axes)
Unique sites:
Li: 0.0000 0.0000 0.0000 [3 per cell]  8 Rh 2.55-2.75
Pr: 0.0000 0.0000 0.5000 [3 per cell]  8 Rh 3.02-3.17
Sn: 0.0000 0.0000 0.2619 [6 per cell]  7 Rh 2.69-2.71
Rh: 0.0000 0.0000 0.1034 [6 per cell]  1 Li 2.55, 3 Sn 2.70
Rh: 0.0000 0.0000 0.3714 [6 per cell]  4 Sn 2.69-2.71, 3 Li 2.75